Computed, not measured: crystalline AlCu2Ir2 at its relaxed geometry at the PBE-GGA level of DFT.

```
AlCu2Ir2
1.0
4.0510 -6.0292 0.8983
4.3548 -3.5701 4.6754
-5.9971 3.7204 -1.9398
Al Cu Ir
1 2 2
Direct
0.0000 0.0000 0.0000
0.2500 0.7500 0.5000
0.7500 0.2500 0.5000
0.5993 0.5993 0.0000
0.4007 0.4007 0.0000
```

M_tot: 0.000 μB/atom
Polymorph energy (0 for the lowest one): 0.30 eV per formula unit
Symmetry: I4/mmm
Fermi-level density of states: 5.35 states/eV/f.u.
Formation energy: 0.071 eV/atom